(1)
Entry from the Alexandria database: an optimized crystal structure of Sm6Dy2Zn (PBE).

Computed properties:
Calculated formation energy ... 0.014 eV/atom
ρ ... 7.6 Mg/m³
DOS at the Fermi energy ... 1.44 states/eV/atom
Total moment ... 0.00 μB/f.u.
Crystal system ... orthorhombic

Lattice parameters (Å, degrees): 5.4202 10.1919 10.1998 90.00 90.00 90.00
With the nearest neighbours (Å) after each atom.
Positions (direct):
Sm1 0.0001 0.0410 0.1871  1 Zn 3.22, 3 Dy 3.33-3.39, 1 Sm 3.49
Sm2 0.9999 0.6870 0.5424  1 Zn 3.22, 3 Dy 3.33-3.39, 1 Sm 3.49
Sm3 0.0000 0.6225 0.8782  2 Zn 3.23, 3 Sm 3.49-3.52, 4 Dy 3.57-3.58
Sm4 0.5000 0.1225 0.6218  2 Zn 3.23, 3 Sm 3.49-3.52, 4 Dy 3.57-3.58
Sm5 0.5001 0.1870 0.9576  1 Zn 3.22, 3 Dy 3.33-3.39, 1 Sm 3.49
Sm6 0.4999 0.5410 0.3129  1 Zn 3.22, 3 Dy 3.33-3.39, 1 Sm 3.49
Sm7 0.9999 0.9590 0.8129  1 Zn 3.22, 3 Dy 3.33-3.39, 1 Sm 3.49
Sm8 0.0001 0.3130 0.4576  1 Zn 3.22, 3 Dy 3.33-3.39, 1 Sm 3.49
Sm9 0.0000 0.3775 0.1218  2 Zn 3.23, 3 Sm 3.49-3.52, 4 Dy 3.57-3.58
Sm10 0.5000 0.8775 0.3782  2 Zn 3.23, 3 Sm 3.49-3.52, 4 Dy 3.57-3.58
Sm11 0.4999 0.8129 0.0424  1 Zn 3.22, 3 Dy 3.33-3.39, 1 Sm 3.49
Sm12 0.5001 0.4590 0.6871  1 Zn 3.22, 3 Dy 3.33-3.39, 1 Sm 3.49
Dy1 0.0000 0.2844 0.7831  10 Sm 3.33-3.58
Dy2 0.5000 0.7844 0.7170  10 Sm 3.33-3.58
Dy3 0.5000 0.2156 0.2831  10 Sm 3.33-3.58
Dy4 0.0000 0.7156 0.2169  10 Sm 3.33-3.58
Zn1 0.5000 0.5000 0.0000  8 Sm 3.22-3.23
Zn2 0.0000 0.0000 0.5000  8 Sm 3.22-3.23

=====

(2)
Entry from the Alexandria database: an optimized crystal structure of SrLaGe2As (PBE).

Computed properties:
Calculated formation energy ... 0.352 eV/atom
ρ ... 4.7 Mg/m³
DOS at the Fermi energy ... 0.59 states/eV/atom
Total moment ... 0.00 μB/f.u.
Crystal system ... tetragonal

Lattice parameters (Å, degrees): 5.3999 5.4634 5.3999 90.00 90.00 90.00
With the nearest neighbours (Å) after each atom.
Positions (direct):
Sr1 0.0000 0.0000 0.0000  4 Ge 2.70, 2 As 2.73
As1 0.0000 0.5000 0.0000  2 Sr 2.73
Ge1 0.0000 0.0000 0.5000  2 Sr 2.70
Ge2 0.5000 0.0000 0.0000  2 Sr 2.70
La1 0.5000 0.5000 0.5000  4 As 3.82, 8 Ge 3.84

=====

(3)
Entry from the Alexandria database: an optimized crystal structure of Tb2S3 (PBE).

Computed properties:
ρ ... 6.3 Mg/m³
DOS at the Fermi energy ... 0.00 states/eV/atom
Formation energy (no corrections) ... -2.058 eV per atom
Total moment ... 0.00 μB/f.u.
Crystal system ... tetragonal

Lattice parameters (Å, degrees): 13.8260 13.8260 13.8260 144.80 144.80 50.63
With the nearest neighbours (Å) after each atom.
Positions (direct):
Tb1 0.7211 0.6004 0.3988  7 S 2.74-2.99
Tb2 0.2015 0.3222 0.6012  7 S 2.74-2.99
Tb3 0.4149 0.9149 0.5000  8 S 2.77-3.01
Tb4 0.9937 0.6250 0.8687  8 S 2.78-3.07
Tb5 0.0289 0.9278 0.3793  7 S 2.74-2.99
Tb6 0.3351 0.3351 0.0000  8 S 2.77-3.01
Tb7 0.5485 0.6496 0.6207  7 S 2.74-2.99
Tb8 0.7563 0.1250 0.1313  8 S 2.78-3.07
Tb9 0.3504 0.9711 0.8988  7 S 2.74-2.99
Tb10 0.3750 0.2437 0.3687  8 S 2.78-3.07
Tb11 0.6649 0.6649 0.0000  8 S 2.77-3.01
Tb12 0.8750 0.0063 0.6313  8 S 2.78-3.07
Tb13 0.0722 0.4515 0.1012  7 S 2.74-2.99
Tb14 0.0851 0.5851 0.5000  8 S 2.77-3.01
Tb15 0.6778 0.2789 0.8793  7 S 2.74-2.99
Tb16 0.3996 0.7985 0.1207  7 S 2.74-2.99
S1 0.5013 0.2547 0.8880  5 Tb 2.77-3.07
S2 0.7113 0.8230 0.7459  5 Tb 2.74-2.99
S3 0.3667 0.6133 0.1120  5 Tb 2.77-3.07
S4 0.2487 0.6367 0.2535  5 Tb 2.77-3.07
S5 0.3833 0.9953 0.7465  5 Tb 2.77-3.07
S6 0.6729 0.4270 0.3882  5 Tb 2.74-2.99
S7 0.0771 0.9653 0.2541  5 Tb 2.74-2.99
S8 0.8463 0.5939 0.9063  5 Tb 2.74-3.01
S9 0.0388 0.2847 0.6118  5 Tb 2.74-2.99
S10 0.0600 0.1537 0.7477  5 Tb 2.74-3.01
S11 0.6876 0.9400 0.0937  5 Tb 2.74-3.01
S12 0.5730 0.9612 0.2459  5 Tb 2.74-2.99
S13 0.7153 0.3271 0.7541  5 Tb 2.74-2.99
S14 0.0047 0.7513 0.3880  5 Tb 2.77-3.07
S15 0.4061 0.3124 0.2523  5 Tb 2.74-3.01
S16 0.1770 0.9229 0.8882  5 Tb 2.74-2.99
S17 0.3633 0.6167 0.6120  5 Tb 2.77-3.07
S18 0.3867 0.4987 0.7535  5 Tb 2.77-3.07
S19 0.0347 0.2888 0.1118  5 Tb 2.74-2.99
S20 0.9037 0.3100 0.2477  5 Tb 2.74-3.01
S21 0.0624 0.6561 0.7523  5 Tb 2.74-3.01
S22 0.7453 0.6333 0.2465  5 Tb 2.77-3.07
S23 0.3439 0.0963 0.4063  5 Tb 2.74-3.01
S24 0.6899 0.9376 0.5937  5 Tb 2.74-3.01

=====

(4)
Entry from the Alexandria database: an optimized crystal structure of CdHgGeO4 (PBE).

Computed properties:
ρ ... 7.5 Mg/m³
Formation energy (no corrections) ... -1.104 eV per atom
Total moment ... 0.00 μB/f.u.
Crystal system ... orthorhombic

Lattice parameters (Å, degrees): 5.6978 5.6978 6.8543 90.00 90.00 116.55
With the nearest neighbours (Å) after each atom.
Positions (direct):
Cd1 0.5000 0.5000 0.5000  6 O 2.35-2.37
Cd2 0.5000 0.5000 0.0000  6 O 2.35-2.37
Hg1 0.8122 0.1878 0.2500  2 O 2.15
Hg2 0.1878 0.8122 0.7500  2 O 2.15
Ge1 0.1430 0.8570 0.2500  4 O 1.78-1.79
Ge2 0.8570 0.1430 0.7500  4 O 1.78-1.79
O1 0.2072 0.2672 0.7500  1 Ge 1.79
O2 0.7328 0.7928 0.7500  1 Ge 1.79
O3 0.7420 0.2580 0.9522  1 Ge 1.78
O4 0.7420 0.2580 0.5478  1 Ge 1.78
O5 0.2580 0.7420 0.0478  1 Ge 1.78
O6 0.2580 0.7420 0.4522  1 Ge 1.78
O7 0.7928 0.7328 0.2500  1 Ge 1.79
O8 0.2672 0.2072 0.2500  1 Ge 1.79

=====

(5)
Entry from the Alexandria database: an optimized crystal structure of NiAs2Pb (PBE).

Computed properties:
Calculated formation energy ... 0.124 eV/atom
ρ ... 8.5 Mg/m³
DOS at the Fermi energy ... 0.35 states/eV/atom
Total moment ... 0.00 μB/f.u.
Crystal system ... tetragonal

Lattice parameters (Å, degrees): 3.3405 3.3399 7.2768 90.00 90.00 90.00
With the nearest neighbours (Å) after each atom.
Positions (direct):
As1 0.0000 0.0000 0.0872  1 Ni 2.47
As2 0.5000 0.5000 0.2863  4 Ni 2.57, 4 As 2.77
Ni1 0.0000 0.0000 0.4267  5 As 2.47-2.57
Pb1 0.5000 0.5000 0.6998  1 As 3.01, 4 Ni 3.09, 4 Pb 3.34

=====

(6)
Entry from the Alexandria database: an optimized crystal structure of ScTiC2 (PBE).

Computed properties:
Calculated formation energy ... -0.486 eV/atom
ρ ... 4.3 Mg/m³
DOS at the Fermi energy ... 0.51 states/eV/atom
Total moment ... 0.00 μB/f.u.
Crystal system ... monoclinic

Lattice parameters (Å, degrees): 3.1562 3.1638 5.5671 106.39 90.00 119.92
With the nearest neighbours (Å) after each atom.
Positions (direct):
Sc1 0.5000 0.5000 0.0000  6 C 2.31
Ti1 0.0000 0.5000 0.5000  6 C 2.19
C1 0.2569 0.0138 0.2703  3 Ti 2.19, 3 Sc 2.31
C2 0.7431 0.9862 0.7297  3 Ti 2.19, 3 Sc 2.31

=====

(7)
Entry from the Alexandria database: an optimized crystal structure of TiTcN2 (PBE).

Computed properties:
ρ ... 5.9 Mg/m³
DOS at the Fermi energy ... 0.71 states/eV/atom
Formation energy (no corrections) ... -0.615 eV per atom
Total moment ... 0.00 μB/f.u.
Crystal system ... tetragonal

Lattice parameters (Å, degrees): 4.5743 4.5743 5.6609 66.17 66.17 90.00
With the nearest neighbours (Å) after each atom.
Positions (direct):
N1 0.6233 0.1250 0.2500  2 Ti 1.99, 2 Tc 2.00
N2 0.1267 0.6250 0.2500  2 Ti 1.99, 2 Tc 2.00
N3 0.3750 0.3767 0.7500  2 Ti 1.99, 2 Tc 2.00
N4 0.8750 0.8733 0.7500  2 Ti 1.99, 2 Tc 2.00
Tc1 0.0000 0.0000 0.0000  4 N 2.00
Tc2 0.7500 0.2500 0.5000  4 N 2.00
Ti1 0.5000 0.5000 0.0000  4 N 1.99
Ti2 0.2500 0.7500 0.5000  4 N 1.99

=====

(8)
Entry from the Alexandria database: an optimized crystal structure of Y2OsCl (PBE).

Computed properties:
ρ ... 5.4 Mg/m³
DOS at the Fermi energy ... 0.61 states/eV/atom
Formation energy (no corrections) ... -0.211 eV per atom
Total moment ... 0.00 μB/f.u.
Crystal system ... tetragonal

Lattice parameters (Å, degrees): 6.1363 6.1363 7.8439 66.97 66.97 90.00
With the nearest neighbours (Å) after each atom.
Positions (direct):
Y1 0.6532 0.1250 0.2500  2 Os 2.62, 2 Cl 2.82
Y2 0.0968 0.6250 0.2500  2 Os 2.62, 2 Cl 2.82
Y3 0.3750 0.3468 0.7500  2 Os 2.62, 2 Cl 2.82
Y4 0.8750 0.9032 0.7500  2 Os 2.62, 2 Cl 2.82
Os1 0.0000 0.0000 0.0000  4 Y 2.62
Os2 0.7500 0.2500 0.5000  4 Y 2.62
Cl1 0.5000 0.5000 0.0000  4 Y 2.82
Cl2 0.2500 0.7500 0.5000  4 Y 2.82

=====

Copy entry 6 word for word.
Entry from the Alexandria database: an optimized crystal structure of ScTiC2 (PBE).

Computed properties:
Calculated formation energy ... -0.486 eV/atom
ρ ... 4.3 Mg/m³
DOS at the Fermi energy ... 0.51 states/eV/atom
Total moment ... 0.00 μB/f.u.
Crystal system ... monoclinic

Lattice parameters (Å, degrees): 3.1562 3.1638 5.5671 106.39 90.00 119.92
With the nearest neighbours (Å) after each atom.
Positions (direct):
Sc1 0.5000 0.5000 0.0000  6 C 2.31
Ti1 0.0000 0.5000 0.5000  6 C 2.19
C1 0.2569 0.0138 0.2703  3 Ti 2.19, 3 Sc 2.31
C2 0.7431 0.9862 0.7297  3 Ti 2.19, 3 Sc 2.31

=====

Question: Which value of total moment does entry 6 give?
Answer: 0.00 μB/f.u.